(1)
Material: AgSb6Ru
Method: DFT, GGA-PBE
State: optimized geometry

DOS at the Fermi energy: 6.5 states/eV/cell
E_form (uncorrected): -43 meV/atom

Lattice parameters (Å, degrees): 8.2439 8.2439 9.5888 124.74 124.74 70.31
Closest atoms and distances in Å follow each position.
Atoms (fractional coordinates):
Ag  0.0000  0.5000  0.0000  6 Sb 2.78-2.85
Ag  0.5000  0.0000  0.0000  6 Sb 2.78-2.85
Sb  0.1430  0.8345  0.6429  1 Ru 2.63, 1 Ag 2.85, 1 Sb 2.93
Sb  0.1655  0.8570  0.3571  1 Ru 2.63, 1 Ag 2.85, 1 Sb 2.93
Sb  0.1925  0.5045  0.8357  1 Ru 2.64, 1 Ag 2.82, 1 Sb 2.95
Sb  0.3291  0.3291  0.4820  2 Ru 2.66, 1 Sb 2.93
Sb  0.3621  0.3621  0.2104  2 Ag 2.78, 2 Sb 2.93-2.99
Sb  0.4955  0.8075  0.1643  1 Ru 2.64, 1 Ag 2.82, 1 Sb 2.95
Sb  0.5045  0.1925  0.8357  1 Ru 2.64, 1 Ag 2.82, 1 Sb 2.95
Sb  0.6379  0.6379  0.7896  2 Ag 2.78, 2 Sb 2.93-2.99
Sb  0.6709  0.6709  0.5180  2 Ru 2.66, 1 Sb 2.93
Sb  0.8075  0.4955  0.1643  1 Ru 2.64, 1 Ag 2.82, 1 Sb 2.95
Sb  0.8345  0.1430  0.6429  1 Ru 2.63, 1 Ag 2.85, 1 Sb 2.93
Sb  0.8570  0.1655  0.3571  1 Ru 2.63, 1 Ag 2.85, 1 Sb 2.93
Ru  0.0000  0.5000  0.5000  6 Sb 2.63-2.66
Ru  0.5000  0.0000  0.5000  6 Sb 2.63-2.66

---

(2)
Material: Ag2Sb2Ru
Method: DFT, GGA-PBE
State: optimized geometry

energy above the most stable polymorph in this dataset: 1.39 eV per formula unit
DOS at the Fermi energy: 9.9 states/eV/cell
E_form (uncorrected): 523 meV/atom

Lattice parameters (Å, degrees): 7.3765 7.3765 3.7899 90.00 90.00 90.00
Closest atoms and distances in Å follow each position.
Atoms (fractional coordinates):
Ag  0.1299  0.3701  0.0000  1 Ag 2.71, 6 Sb 2.75-2.99, 2 Ru 2.89
Ag  0.3701  0.8701  0.0000  1 Ag 2.71, 6 Sb 2.75-2.99, 2 Ru 2.89
Ag  0.6299  0.1299  0.0000  1 Ag 2.71, 6 Sb 2.75-2.99, 2 Ru 2.89
Ag  0.8701  0.6299  0.0000  1 Ag 2.71, 6 Sb 2.75-2.99, 2 Ru 2.89
Sb  0.1790  0.6790  0.5000  6 Ag 2.75-2.99
Sb  0.3210  0.1790  0.5000  6 Ag 2.75-2.99
Sb  0.6790  0.8210  0.5000  6 Ag 2.75-2.99
Sb  0.8210  0.3210  0.5000  6 Ag 2.75-2.99
Ru  0.0000  0.0000  0.0000  4 Ag 2.89
Ru  0.5000  0.5000  0.0000  4 Ag 2.89

---

(3)
Material: AgSbRu
Method: DFT, GGA-PBE
State: optimized geometry

energy above the most stable polymorph in this dataset: 0.64 eV per formula unit
DOS at the Fermi energy: 1.7 states/eV/cell
E_form (uncorrected): 200 meV/atom

Lattice parameters (Å, degrees): 4.4175 4.4175 4.4175 60.00 60.00 60.00
Closest atoms and distances in Å follow each position.
Atoms (fractional coordinates):
Ag  0.0000  0.0000  0.0000  4 Ru 2.71
Sb  0.5000  0.5000  0.5000  4 Ru 2.71
Ru  0.2500  0.2500  0.2500  4 Sb 2.71, 4 Ag 2.71

---

(4)
Material: AgSbRu
Method: DFT, GGA-PBE
State: optimized geometry

energy above the most stable polymorph in this dataset: 0.64 eV per formula unit
DOS at the Fermi energy: 1.1 states/eV/cell
E_form (uncorrected): 201 meV/atom

Lattice parameters (Å, degrees): 5.5025 5.5025 5.5025 144.73 144.73 50.73
Closest atoms and distances in Å follow each position.
Atoms (fractional coordinates):
Ag  0.0000  0.0000  0.0000  5 Ru 2.96-3.18, 5 Sb 3.02-3.08
Sb  0.3097  0.3097  0.0000  4 Ru 2.68
Ru  0.6806  0.6806  0.0000  4 Sb 2.68, 4 Ag 2.96

---

(5)
Material: Ag2Sb2Ru
Method: DFT, GGA-PBE
State: optimized geometry

energy above the most stable polymorph in this dataset: 3.48 eV per formula unit
DOS at the Fermi energy: 6.9 states/eV/cell
E_form (uncorrected): 941 meV/atom

Lattice parameters (Å, degrees): 7.3442 7.3442 7.3442 146.81 146.81 47.64
Closest atoms and distances in Å follow each position.
Atoms (fractional coordinates):
Ag  0.0962  0.0962  0.0000  1 Ag 2.59
Ag  0.9038  0.9038  0.0000  1 Ag 2.59
Sb  0.2500  0.7500  0.5000  4 Ag 2.94, 4 Sb 2.97
Sb  0.7500  0.2500  0.5000  4 Ag 2.94, 4 Sb 2.97
Ru  0.5000  0.5000  0.0000  8 Ag 3.24

---

(6)
Material: SrAgSb2Ru
Method: DFT, GGA-PBE
State: optimized geometry

energy above the most stable polymorph in this dataset: 7.97 eV per formula unit
DOS at the Fermi energy: 12.2 states/eV/cell
E_form (uncorrected): 1684 meV/atom

Lattice parameters (Å, degrees): 5.8809 5.8809 5.4461 90.00 90.00 90.00
Closest atoms and distances in Å follow each position.
Atoms (fractional coordinates):
Sr  0.0000  0.0000  0.0000  2 Ag 2.72, 4 Sb 2.94
Ag  0.0000  0.0000  0.5000  2 Sr 2.72
Sb  0.0000  0.5000  0.0000  2 Sr 2.94
Sb  0.5000  0.0000  0.0000  2 Sr 2.94
Ru  0.5000  0.5000  0.5000  8 Sb 4.01, 4 Ag 4.16

---

Copy entry 1 word for word.
Material: AgSb6Ru
Method: DFT, GGA-PBE
State: optimized geometry

DOS at the Fermi energy: 6.5 states/eV/cell
E_form (uncorrected): -43 meV/atom

Lattice parameters (Å, degrees): 8.2439 8.2439 9.5888 124.74 124.74 70.31
Closest atoms and distances in Å follow each position.
Atoms (fractional coordinates):
Ag  0.0000  0.5000  0.0000  6 Sb 2.78-2.85
Ag  0.5000  0.0000  0.0000  6 Sb 2.78-2.85
Sb  0.1430  0.8345  0.6429  1 Ru 2.63, 1 Ag 2.85, 1 Sb 2.93
Sb  0.1655  0.8570  0.3571  1 Ru 2.63, 1 Ag 2.85, 1 Sb 2.93
Sb  0.1925  0.5045  0.8357  1 Ru 2.64, 1 Ag 2.82, 1 Sb 2.95
Sb  0.3291  0.3291  0.4820  2 Ru 2.66, 1 Sb 2.93
Sb  0.3621  0.3621  0.2104  2 Ag 2.78, 2 Sb 2.93-2.99
Sb  0.4955  0.8075  0.1643  1 Ru 2.64, 1 Ag 2.82, 1 Sb 2.95
Sb  0.5045  0.1925  0.8357  1 Ru 2.64, 1 Ag 2.82, 1 Sb 2.95
Sb  0.6379  0.6379  0.7896  2 Ag 2.78, 2 Sb 2.93-2.99
Sb  0.6709  0.6709  0.5180  2 Ru 2.66, 1 Sb 2.93
Sb  0.8075  0.4955  0.1643  1 Ru 2.64, 1 Ag 2.82, 1 Sb 2.95
Sb  0.8345  0.1430  0.6429  1 Ru 2.63, 1 Ag 2.85, 1 Sb 2.93
Sb  0.8570  0.1655  0.3571  1 Ru 2.63, 1 Ag 2.85, 1 Sb 2.93
Ru  0.0000  0.5000  0.5000  6 Sb 2.63-2.66
Ru  0.5000  0.0000  0.5000  6 Sb 2.63-2.66

---

Look up the E_form (uncorrected) of the fifth one. 941 meV/atom

---

Look up the DOS at the Fermi energy of the fifth one. 6.9 states/eV/cell